The following is a PBE+U calculation of a relaxed Y2AlVO6 crystal, from Alexandria.

Unit cell a=5.287 b=5.553 c=9.230 alpha=90.00 beta=124.87 gamma=90.00
Space group P2_1/c (No. 14)
Unique sites:
Y: 0.231 0.064 0.249 x4
Al: 0.000 0.000 0.500 x2
V: 0.500 0.000 0.000 x2
O: 0.133 0.209 0.945 x4
O: 0.244 0.694 0.948 x4
O: 0.345 0.033 0.742 x4

## Properties
As for the density: 5.3 g/cm3. The uncorrected energy comes out at -8.4530 eV per atom.

The following is a PBE+U calculation of a relaxed AlVZnO4 crystal, from Alexandria.

Unit cell a=5.810 b=5.942 c=8.526 alpha=90.00 beta=90.00 gamma=90.00
Space group Imma (No. 74)
Unique sites:
Al: 0.250 0.250 0.250 x4
V: 0.000 0.000 0.000 x4
Zn: 0.000 0.250 0.628 x4
O: 0.000 0.033 0.245 x8
O: 0.234 0.250 0.022 x8

## Properties
As for the density: 4.7 g/cm3. The uncorrected energy comes out at -6.8769 eV per atom.

The following is a PBE+U calculation of a relaxed Al2VZnO6 crystal, from Alexandria.

Unit cell a=10.286 b=8.230 c=5.736 alpha=90.00 beta=111.29 gamma=90.00
Space group C2/c (No. 15)
Unique sites:
Al: 0.216 0.088 0.249 x8
V: 0.000 0.403 0.250 x4
Zn: 0.000 0.204 0.750 x4
O: 0.096 0.397 0.642 x8
O: 0.143 0.285 0.237 x8
O: 0.149 0.041 0.926 x8

## Properties
As for the density: 3.9 g/cm3. The uncorrected energy comes out at -6.9416 eV per atom.

The following is a PBE+U calculation of a relaxed AlWO3 crystal, from Alexandria.

Unit cell a=5.5990 b=5.5990 c=11.9843 alpha=90.00 beta=90.00 gamma=120.00
Space group P6_3cm (No. 185)
Unique sites:
Al: 0.0000 0.0000 0.0000 x2
Al: 0.3333 0.6667 0.0305 x4
W: 0.0000 0.2938 0.2677 x6
O: 0.0000 0.0000 0.1575 x2
O: 0.0000 0.3059 0.4482 x6
O: 0.0000 0.4332 0.1063 x6
O: 0.3333 0.6667 0.3023 x4

## Properties
As for the density: 7.9 g/cm3. The uncorrected energy comes out at -7.0914 eV per atom.

The following is a PBE+U calculation of a relaxed AlWO4 crystal, from Alexandria.

Unit cell a=5.474 b=4.587 c=5.503 alpha=90.00 beta=112.84 gamma=90.00
Space group P2_1/c (No. 14)
Unique sites:
Al: 0.000 0.000 0.000 x2
W: 0.500 0.000 0.500 x2
O: 0.147 0.199 0.337 x4
O: 0.339 0.690 0.639 x4

## Properties
As for the density: 7.2 g/cm3. The uncorrected energy comes out at -7.5389 eV per atom.

The following is a PBE+U calculation of a relaxed AlW2O crystal, from Alexandria.

Unit cell a=6.588 b=6.588 c=6.116 alpha=90.00 beta=90.00 gamma=90.00
Space group I-42d (No. 122)
Unique sites:
Al: 0.000 0.000 0.000 x4
W: 0.154 0.250 0.625 x8
O: 0.000 0.000 0.500 x4

## Properties
As for the density: 10.3 g/cm3. The uncorrected energy comes out at -5.4889 eV per atom.

The following is a PBE+U calculation of a relaxed Al2W3O12 crystal, from Alexandria.

Unit cell a=9.222 b=9.307 c=15.846 alpha=90.00 beta=125.57 gamma=90.00
Space group P2_1/c (No. 14)
Unique sites:
Al: 0.131 0.033 0.381 x4
Al: 0.369 0.033 0.118 x4
W: 0.038 0.616 0.644 x4
W: 0.251 0.116 0.645 x4
W: 0.474 0.750 0.000 x4
O: 0.025 0.694 0.166 x4
O: 0.053 0.088 0.641 x4
O: 0.062 0.506 0.746 x4
O: 0.165 0.067 0.978 x4
O: 0.205 0.066 0.521 x4
O: 0.226 0.590 0.638 x4
O: 0.293 0.623 0.932 x4
O: 0.305 0.194 0.165 x4
O: 0.319 0.157 0.407 x4
O: 0.432 0.007 0.746 x4
O: 0.432 0.621 0.569 x4
O: 0.494 0.659 0.405 x4

## Properties
As for the density: 4.8 g/cm3. The uncorrected energy comes out at -7.4458 eV per atom.

The following is a PBE+U calculation of a relaxed AlW2O8 crystal, from Alexandria.

Unit cell a=5.6248 b=5.6248 c=6.4758 alpha=90.00 beta=90.00 gamma=120.00
Space group P-3m1 (No. 164)
Unique sites:
Al: 0.0000 0.0000 0.0000 x1
W: 0.3333 0.6667 0.7345 x2
O: 0.1577 0.3154 0.8312 x6
O: 0.3333 0.6667 0.4590 x2

## Properties
As for the density: 4.9 g/cm3. The uncorrected energy comes out at -7.1770 eV per atom.

The following is a PBE+U calculation of a relaxed AlWO2 crystal, from Alexandria.

Unit cell a=5.071 b=5.071 c=8.709 alpha=90.00 beta=90.00 gamma=90.00
Space group I-42d (No. 122)
Unique sites:
Al: 0.000 0.000 0.000 x4
W: 0.000 0.000 0.500 x4
O: 0.139 0.250 0.125 x8

## Properties
As for the density: 7.2 g/cm3. The uncorrected energy comes out at -6.4551 eV per atom.